{"formula": "MgCdP2", "functional": "PBEsol", "state": "optimized geometry", "cell": [[2.903, 0.000, 0.000], [1.452, 2.514, 0.000], [1.452, 0.838, 9.909]], "species": ["Cd", "Mg", "P", "P"], "frac_coords": [[0.500, 0.500, 0.500], [0.000, 0.000, 0.000], [0.264, 0.264, 0.208], [0.736, 0.736, 0.792]], "de_polymorph_mev_per_atom": 235, "ef_ev_per_atom": 0.197, "total_magnetization_mub_per_cell": 0.0, "space_group": "No. 166"}

=====

{"formula": "CaSi2", "functional": "PBEsol", "state": "optimized geometry", "cell": [[3.853, 0.000, 0.000], [1.927, 3.337, 0.000], [1.927, 1.112, 9.936]], "species": ["Ca", "Ca", "Si", "Si", "Si", "Si"], "frac_coords": [[0.080, 0.080, 0.761], [0.920, 0.920, 0.239], [0.183, 0.183, 0.451], [0.817, 0.817, 0.549], [0.347, 0.347, 0.960], [0.653, 0.653, 0.040]], "total_magnetization_mub_per_cell": 0.0, "space_group": "No. 166", "e_form_raw_ev_per_atom": -0.42}

=====

{"formula": "BAsO3", "functional": "PBEsol", "state": "optimized geometry", "cell": [[-0.599, 1.342, 3.340], [2.833, -1.913, 1.277], [2.221, 2.803, -0.728]], "species": ["As", "B", "O", "O", "O"], "frac_coords": [[0.000, 0.000, 0.000], [0.500, 0.500, 0.500], [0.000, 0.500, 0.000], [0.000, 0.000, 0.500], [0.500, 0.000, 0.000]], "total_magnetization_mub_per_cell": 0.0, "space_group": "No. 221", "e_form_raw_ev_per_atom": 0.16}